A geometry-optimized CaCdFe2 structure. Source: Alexandria via LeMat-Bulk, functional PBE.

Geometry as extended XYZ:
```
4
Lattice="2.990 0.000 0.000 0.000 2.990 0.000 0.000 0.000 8.260" Properties=species:S:1:pos:R:3 pbc="T T T"
Ca 0.000 0.000 0.000
Cd 0.000 0.000 4.130
Fe 1.495 1.495 2.262
Fe 1.495 1.495 5.998
```

Calculated values
total magnetic moment: 4.82 μB/f.u.
symmetry: P4/mmm, No. 123
formation energy: 0.570 eV/atom